# 1
TmZr4N4: optimized geometry, PBE-GGA.

Cell lengths 7.416, 7.416, 4.606 Å; angles 90.00, 90.00, 90.00 degrees
Space group I4/m (No. 87)
One atom of each set of equivalent atoms:
Tm: 0.000 0.000 0.000 x2
Zr: 0.111 0.314 0.500 x8
N: 0.101 0.304 0.000 x8

V: 14.08 Å³ per atom
raw total energy: -0.701 Ry per atom
E_form (uncorrected): -1.5459 eV/atom



# 2
TmZr3N4: optimized geometry, PBE-GGA.

Cell lengths 6.605, 9.302, 3.283 Å; angles 90.00, 90.00, 90.00 degrees
Space group Cmmm (No. 65)
One atom of each set of equivalent atoms:
Tm: 0.000 0.000 0.000 x2
Zr: 0.000 0.500 0.000 x2
Zr: 0.250 0.250 0.500 x4
N: 0.000 0.252 0.000 x4
N: 0.244 0.500 0.500 x4

energy above the lowest structure with this stoichiometry: 0.000 eV per atom
V: 12.60 Å³ per atom
raw total energy: -0.710 Ry per atom
E_form (uncorrected): -1.7353 eV/atom



# 3
TmZr4N6: optimized geometry, PBE-GGA.

Cell lengths 3.203, 10.771, 16.435 Å; angles 90.00, 90.00, 90.00 degrees
Space group Cmcm (No. 63)
One atom of each set of equivalent atoms:
Tm: 0.000 0.147 0.250 x4
Zr: 0.000 0.108 0.639 x8
Zr: 0.000 0.369 0.549 x8
N: 0.000 0.000 0.000 x4
N: 0.000 0.199 0.750 x4
N: 0.000 0.271 0.082 x8
N: 0.000 0.464 0.662 x8

V: 12.88 Å³ per atom
raw total energy: -0.712 Ry per atom
E_form (uncorrected): -1.6281 eV/atom



# 4
TmZr5N4: optimized geometry, PBE-GGA.

Cell lengths 14.148, 3.321, 6.655 Å; angles 90.00, 104.21, 90.00 degrees
Space group C2/m (No. 12)
One atom of each set of equivalent atoms:
Tm: 0.000 0.000 0.000 x2
Zr: 0.000 0.000 0.500 x2
Zr: 0.164 0.500 0.847 x4
Zr: 0.169 0.500 0.319 x4
N: 0.004 0.500 0.259 x4
N: 0.169 0.000 0.086 x4

V: 15.16 Å³ per atom
raw total energy: -0.694 Ry per atom
E_form (uncorrected): -1.3881 eV/atom



# 5
TmZrN: optimized geometry, PBE-GGA.

Cell lengths 3.443, 3.443, 4.448 Å; angles 90.00, 90.00, 90.00 degrees
Space group P4/mmm (No. 123)
One atom of each set of equivalent atoms:
Tm: 0.000 0.000 0.000 x1
Zr: 0.500 0.500 0.500 x1
N: 0.500 0.500 0.000 x1

energy above the lowest structure with this stoichiometry: 0.007 eV per atom
V: 17.58 Å³ per atom
raw total energy: -0.604 Ry per atom
E_form (uncorrected): -1.1044 eV/atom



# 6
UN: optimized geometry, PBE-GGA.

Cell lengths 4.871, 4.871, 4.871 Å; angles 90.00, 90.00, 90.00 degrees
Space group Fm-3m (No. 225)
One atom of each set of equivalent atoms:
U: 0.000 0.000 0.000 x4
N: 0.000 0.000 0.500 x4

V: 14.45 Å³ per atom
raw total energy: -0.818 Ry per atom
E_form (uncorrected): -1.3170 eV/atom



Please write out number 5 again, unchanged.
TmZrN: optimized geometry, PBE-GGA.

Cell lengths 3.443, 3.443, 4.448 Å; angles 90.00, 90.00, 90.00 degrees
Space group P4/mmm (No. 123)
One atom of each set of equivalent atoms:
Tm: 0.000 0.000 0.000 x1
Zr: 0.500 0.500 0.500 x1
N: 0.500 0.500 0.000 x1

energy above the lowest structure with this stoichiometry: 0.007 eV per atom
V: 17.58 Å³ per atom
raw total energy: -0.604 Ry per atom
E_form (uncorrected): -1.1044 eV/atom



- Among the records above, which one has the lowest V?
  TmZr3N4